# CaCdTc3 | Alexandria via LeMat-Bulk | PBE | relaxed
data_CaCdTc3
_chemical_formula_sum 'Ca1 Cd1 Tc3'
_cell_length_a 5.084
_cell_length_b 5.084
_cell_length_c 5.084
_cell_angle_alpha 90.00
_cell_angle_beta 90.00
_cell_angle_gamma 90.00
_symmetry_space_group_name_H-M 'P m -3 m'
_symmetry_Int_Tables_number 221
_symmetry_space_group_name_Hall '-P 4 2 3'
loop_
_atom_site_label
_atom_site_fract_x
_atom_site_fract_y
_atom_site_fract_z
_atom_site_occupancy
Ca1 0.000 0.000 0.000 1
Cd1 0.500 0.500 0.500 1
Tc1 0.000 0.500 0.500 1
# formation energy: 2.003 eV/atom
# DOS(E_F): 9.32 states/eV/f.u.
# ΔE to the lowest computed polymorph: 0.0 kJ per mole of atoms
# volume: 131.4 Å³/cell
# raw total energy: -4.7997 eV per atom